Record 1
This record from the Alexandria database describes an optimized crystal structure of SrCoF. The functional is PBE with a Hubbard U.

```
data_SrCoF
_chemical_formula_sum 'Sr4 Co4 F4'
_cell_length_a 6.881
_cell_length_b 6.881
_cell_length_c 6.881
_cell_angle_alpha 90.00
_cell_angle_beta 90.00
_cell_angle_gamma 90.00
_symmetry_space_group_name_H-M 'P 1'
_symmetry_Int_Tables_number 1
_symmetry_space_group_name_Hall 'P 1'
loop_
_atom_site_label
_atom_site_fract_x
_atom_site_fract_y
_atom_site_fract_z
Sr1 0.000 0.000 0.000
Sr2 0.000 0.500 0.500
Sr3 0.500 0.000 0.500
Sr4 0.500 0.500 0.000
Co1 0.250 0.250 0.250
Co2 0.250 0.750 0.750
Co3 0.750 0.250 0.750
Co4 0.750 0.750 0.250
F1 0.000 0.000 0.500
F2 0.000 0.500 0.000
F3 0.500 0.000 0.000
F4 0.500 0.500 0.500
```

Summary:
Energy above the lowest structure with this stoichiometry: 1431.4 meV/atom
Raw total energy: -3.019 eV/atom
M_tot: 0.6667 μB/atom



Record 2
This record from the Alexandria database describes an optimized crystal structure of ZnCr2O4. The functional is PBE with a Hubbard U.

```
data_ZnCr2O4
_chemical_formula_sum 'Zn2 Cr4 O8'
_cell_length_a 6.001
_cell_length_b 6.001
_cell_length_c 6.001
_cell_angle_alpha 60.00
_cell_angle_beta 60.00
_cell_angle_gamma 60.00
_symmetry_space_group_name_H-M 'P 1'
_symmetry_Int_Tables_number 1
_symmetry_space_group_name_Hall 'P 1'
loop_
_atom_site_label
_atom_site_fract_x
_atom_site_fract_y
_atom_site_fract_z
Zn1 0.125 0.125 0.125
Zn2 0.875 0.875 0.875
Cr1 0.000 0.500 0.500
Cr2 0.500 0.000 0.500
Cr3 0.500 0.500 0.000
Cr4 0.500 0.500 0.500
O1 0.262 0.262 0.262
O2 0.262 0.262 0.715
O3 0.262 0.715 0.262
O4 0.285 0.738 0.738
O5 0.715 0.262 0.262
O6 0.738 0.285 0.738
O7 0.738 0.738 0.285
O8 0.738 0.738 0.738
```

Summary:
Energy above the lowest structure with this stoichiometry: 0.0 meV/atom
Raw total energy: -7.047 eV/atom
M_tot: 0.8571 μB/atom